A plane-wave DFT calculation with PBE was carried out for In4PtAu after structural relaxation.

Unit cell a=4.615 b=4.615 c=6.547 alpha=90.00 beta=90.00 gamma=90.00
Sites, in units of the cell vectors:
In 0.000 0.500 0.258
In 0.500 0.000 0.742
In 0.000 0.500 0.742
In 0.500 0.000 0.258
Pt 0.500 0.500 0.500
Au 0.000 0.000 0.000

Results
As for the raw total energy: -3.737 eV/atom. The calculation puts the total magnetization at 0.01 Bohr magnetons per cell.